No. 1
# SCAN CaReIr2, single point on PBEsol structure
data_CaReIr2
_cell_length_a 4.1472
_cell_length_b 4.1472
_cell_length_c 3.7013
_cell_angle_alpha 90.00
_cell_angle_beta 90.00
_cell_angle_gamma 90.00
_space_group_name_H-M_alt 'P 4/m m m'
_space_group_IT_number 123
_space_group_name_Hall '-P 4 2'
loop_
_atom_site_label
_atom_site_type_symbol
_atom_site_fract_x
_atom_site_fract_y
_atom_site_fract_z
_atom_site_occupancy
Ca1 Ca 0.0000 0.0000 0.0000 1
Re1 Re 0.5000 0.5000 0.0000 1
Ir1 Ir 0.0000 0.5000 0.5000 1
# Energy of formation ... 328 meV/atom
# Theoretical density ... 15.93 g/cm3
# Calculated volume ... 63.66 Å³ per cell
# E_tot ... -55.412 eV/atom


No. 2
# SCAN Ta2CdPt, single point on PBEsol structure
data_Ta2CdPt
_cell_length_a 2.8413
_cell_length_b 2.8413
_cell_length_c 8.5556
_cell_angle_alpha 90.00
_cell_angle_beta 90.00
_cell_angle_gamma 90.00
_space_group_name_H-M_alt 'P 4 m m'
_space_group_IT_number 99
_space_group_name_Hall 'P 4 -2'
loop_
_atom_site_label
_atom_site_type_symbol
_atom_site_fract_x
_atom_site_fract_y
_atom_site_fract_z
_atom_site_occupancy
Ta1 Ta 0.0000 0.0000 0.0000 1
Ta2 Ta 0.5000 0.5000 0.2601 1
Cd1 Cd 0.0000 0.0000 0.5314 1
Pt1 Pt 0.5000 0.5000 0.7780 1
# Energy of formation ... -255 meV/atom
# Theoretical density ... 16.09 g/cm3
# Calculated volume ... 69.07 Å³ per cell
# E_tot ... -58.698 eV/atom


Look up the energy of formation of the second one. -255 meV/atom